A plane-wave DFT calculation with GGA+U was carried out for a relaxed YCr2SbO6 crystal.

Cell lengths 5.549, 5.549, 5.549 Å; angles 59.70, 59.70, 59.70 degrees
Fractional coordinates of all 10 atoms:
Y 0.000 0.000 0.000
Cr 0.274 0.274 0.274
Cr 0.777 0.777 0.777
Sb 0.493 0.493 0.493
O 0.068 0.625 0.429
O 0.112 0.551 0.943
O 0.429 0.068 0.625
O 0.551 0.943 0.112
O 0.625 0.429 0.068
O 0.943 0.112 0.551

VASP energy = -76.577 eV/f.u.